Below is a relaxed Pm3PrAl crystal, with properties calculated at the PBE-GGA level.

Properties
energy above the lowest structure with this stoichiometry = 0 meV/atom

Cell: 3.7826 8.7438 9.9558 Å, 76.50 79.05 89.98°
With the nearest neighbours (Å) after each atom.
Space group P-1 (No. 2)
Inequivalent atoms, fractional coordinates:
Pm  0.9999  0.2045  0.0019 (multiplicity 2)  4 Al 3.18-3.26, 1 Pm 3.49
Pm  0.1854  0.8835  0.6303 (multiplicity 2)  2 Al 3.17, 3 Pm 3.43-3.49
Pm  0.1973  0.3144  0.6050 (multiplicity 2)  2 Al 3.17
Pr  0.4021  0.4573  0.1933 (multiplicity 2)  9 Pm 3.60-3.92, 3 Pr 3.67-3.78
Al  0.4002  0.9365  0.1993 (multiplicity 2)  8 Pm 3.17-3.26


Below is a relaxed Ac5Pr2YHo crystal, with properties calculated at the PBE-GGA level.

Properties
E = -159.9 eV for the cell shown

Cell: 5.8381 22.7816 11.0842 Å, 90.00 90.00 90.00°
With the nearest neighbours (Å) after each atom.
Space group Cmcm (No. 63)
Inequivalent atoms, fractional coordinates:
Ac  0.0000  0.0000  0.0000 (multiplicity 4)  2 Y 3.58, 4 Pr 3.91
Ac  0.0000  0.1310  0.2500 (multiplicity 4)  1 Ho 3.92, 4 Pr 3.99, 6 Ac 4.01-4.22
Ac  0.0000  0.2189  0.5638 (multiplicity 8)  1 Y 3.42, 2 Ac 3.54, 2 Ho 3.61
Ac  0.0000  0.4972  0.2500 (multiplicity 4)  2 Y 3.66, 4 Pr 3.78-3.82, 4 Ac 4.03
Pr  0.0000  0.3859  0.5074 (multiplicity 8)  1 Ho 3.42, 2 Ac 3.78-3.82
Y  0.0000  0.0994  0.7500 (multiplicity 4)  6 Ac 3.42-3.66, 2 Ho 3.67
Ho  0.0000  0.3032  0.2500 (multiplicity 4)  2 Pr 3.42, 4 Ac 3.61, 2 Y 3.67


Below is a relaxed NaLaGeO4 crystal, with properties calculated at the PBE-GGA level.

Properties
E = -186.0 eV for the cell shown

Cell: 6.2066 7.2492 8.9552 Å, 90.00 90.00 90.00°
With the nearest neighbours (Å) after each atom.
Space group Imma (No. 74)
Inequivalent atoms, fractional coordinates:
Na  0.2500  0.2500  0.2500 (multiplicity 4)  2 O 2.29
La  0.0000  0.0000  0.0000 (multiplicity 4)  6 O 2.40-2.44
Ge  0.0000  0.2500  0.6266 (multiplicity 4)  4 O 1.79-1.83
O  0.0000  0.0425  0.7345 (multiplicity 8)  1 Ge 1.79
O  0.2372  0.2500  0.5052 (multiplicity 8)  1 Ge 1.83


Below is a relaxed Pu2PaTa crystal, with properties calculated at the PBE-GGA level.

Properties
energy above the lowest structure with this stoichiometry = 0 meV/atom

Cell: 7.0739 7.0739 7.0739 Å, 90.00 90.00 90.00°
With the nearest neighbours (Å) after each atom.
Space group Fm-3m (No. 225)
Inequivalent atoms, fractional coordinates:
Pu  0.2500  0.2500  0.2500 (multiplicity 8)  4 Pa 3.06, 4 Ta 3.06
Pa  0.0000  0.0000  0.0000 (multiplicity 4)  8 Pu 3.06
Ta  0.0000  0.0000  0.5000 (multiplicity 4)  8 Pu 3.06


Below is a relaxed Sr3Cd2Sn9 crystal, with properties calculated at the PBE-GGA level.

Properties
E = -93.9 eV for the cell shown

Cell: 5.3950 11.1640 14.0199 Å, 90.00 90.00 90.00°
With the nearest neighbours (Å) after each atom.
Space group Immm (No. 71)
Inequivalent atoms, fractional coordinates:
Sr  0.0000  0.0000  0.0000 (multiplicity 2)  12 Sn 3.70-3.76, 2 Sr 4.04
Sr  0.0000  0.0000  0.2885 (multiplicity 4)  2 Cd 3.43, 10 Sn 3.71-3.75
Cd  0.0000  0.1547  0.5000 (multiplicity 4)  4 Sn 3.02-3.20
Sn  0.0000  0.2811  0.1473 (multiplicity 8)  4 Sn 3.09-3.20
Sn  0.0000  0.3591  0.3586 (multiplicity 8)  1 Cd 3.02, 4 Sn 3.09-3.15
Sn  0.0000  0.5000  0.0000 (multiplicity 2)  4 Sn 3.20, 4 Cd 3.20


Below is a relaxed YAlRe crystal, with properties calculated at the PBE-GGA level.

Properties
energy above the lowest structure with this stoichiometry = 659 meV/atom

Cell: 3.3284 3.3284 6.3833 Å, 90.00 90.00 120.00°
With the nearest neighbours (Å) after each atom.
Space group P3m1 (No. 156)
Inequivalent atoms, fractional coordinates:
Y  0.0000  0.0000  0.0000 (multiplicity 1)  3 Re 2.87, 3 Al 3.19
Al  0.6667  0.3333  0.3996 (multiplicity 1)  3 Re 2.57
Re  0.3333  0.6667  0.6662 (multiplicity 1)  3 Al 2.57, 3 Y 2.87


Below is a relaxed ThFe5Si2 crystal, with properties calculated at the PBE-GGA level.

Properties
E = -126.0 eV for the cell shown

Cell: 3.5478 6.8444 9.4146 Å, 90.00 90.00 90.00°
With the nearest neighbours (Å) after each atom.
Space group Immm (No. 71)
Inequivalent atoms, fractional coordinates:
Th  0.0000  0.0000  0.0000 (multiplicity 2)  4 Si 2.97, 8 Fe 3.12
Fe  0.0000  0.1849  0.3512 (multiplicity 8)  3 Si 2.37, 3 Fe 2.53-2.59
Fe  0.0000  0.5000  0.0000 (multiplicity 2)  2 Si 2.32, 8 Fe 2.59
Si  0.0000  0.5000  0.2468 (multiplicity 4)  7 Fe 2.32-2.37


Below is a relaxed Ni2HgRh crystal, with properties calculated at the PBE-GGA level.

Properties
E = -72.1 eV for the cell shown

Cell: 6.1460 6.1460 6.1460 Å, 90.00 90.00 90.00°
With the nearest neighbours (Å) after each atom.
Space group F-43m (No. 216)
Inequivalent atoms, fractional coordinates:
Ni  0.0000  0.0000  0.0000 (multiplicity 4)  4 Rh 2.66, 4 Ni 2.66
Ni  0.2500  0.2500  0.2500 (multiplicity 4)  4 Hg 2.66, 4 Ni 2.66
Hg  0.0000  0.0000  0.5000 (multiplicity 4)  4 Ni 2.66, 4 Rh 2.66
Rh  0.2500  0.2500  0.7500 (multiplicity 4)  4 Hg 2.66, 4 Ni 2.66


Below is a relaxed Ce4SmBi3 crystal, with properties calculated at the PBE-GGA level.

Properties
E = -86.4 eV for the cell shown

Cell: 16.0233 5.0719 6.3748 Å, 90.00 110.93 90.00°
With the nearest neighbours (Å) after each atom.
Space group C2/m (No. 12)
Inequivalent atoms, fractional coordinates:
Ce  0.1392  0.0000  0.0887 (multiplicity 4)  2 Ce 2.97, 3 Bi 3.29
Ce  0.2253  0.5000  0.2973 (multiplicity 4)  2 Ce 2.97
Sm  0.0000  0.0000  0.5000 (multiplicity 2)  4 Bi 3.34, 2 Ce 3.62
Bi  0.0000  0.5000  0.0000 (multiplicity 2)  6 Ce 3.29-3.43, 2 Bi 3.39
Bi  0.1409  0.5000  0.7095 (multiplicity 4)  7 Ce 3.29-3.51, 2 Sm 3.34, 1 Bi 3.39


Below is a relaxed B2C crystal, with properties calculated at the PBE-GGA level.

Properties
energy above the lowest structure with this stoichiometry = 207 meV/atom

Cell: 9.0012 3.5664 5.3988 Å, 90.00 102.70 90.00°
With the nearest neighbours (Å) after each atom.
Space group C2 (No. 5)
Inequivalent atoms, fractional coordinates:
B  0.0000  0.0000  0.0000 (multiplicity 2)  2 C 1.62
B  0.0000  0.0161  0.5000 (multiplicity 2)  4 C 1.65-1.67
B  0.0971  0.5433  0.8216 (multiplicity 4)  2 C 1.54-1.62, 1 B 1.60
B  0.1811  0.4381  0.4065 (multiplicity 4)  3 C 1.56-1.64
B  0.2203  0.8481  0.9513 (multiplicity 4)  1 B 1.60
C  0.0313  0.2544  0.2553 (multiplicity 4)  4 B 1.54-1.65
C  0.1592  0.7714  0.6060 (multiplicity 4)  4 B 1.57-1.67


Below is a relaxed Ac3NdSm8 crystal, with properties calculated at the PBE-GGA level.

Properties
E = -108.5 eV for the cell shown

Cell: 16.4966 6.4969 11.3504 Å, 90.00 133.40 90.00°
With the nearest neighbours (Å) after each atom.
Space group C2 (No. 5)
Inequivalent atoms, fractional coordinates:
Ac  0.0000  0.0000  0.0000 (multiplicity 2)  10 Sm 3.71-3.93, 2 Ac 3.80
Ac  0.2479  0.1449  0.7479 (multiplicity 4)  10 Sm 3.71-3.83, 1 Nd 3.75, 1 Ac 3.80
Nd  0.0000  0.4977  0.5000 (multiplicity 2)  10 Sm 3.67-3.89, 2 Ac 3.75
Sm  0.0002  0.4800  0.1769 (multiplicity 4)  7 Sm 3.62-4.01, 1 Nd 3.67, 4 Ac 3.71-3.93
Sm  0.9999  0.9784  0.3287 (multiplicity 4)  7 Sm 3.64-3.89, 2 Nd 3.68-3.89, 3 Ac 3.71-3.73
Sm  0.2476  0.6537  0.5771 (multiplicity 4)  7 Sm 3.62-3.87, 1 Nd 3.68, 4 Ac 3.73-3.83
Sm  0.2476  0.6537  0.9182 (multiplicity 4)  7 Sm 3.62-3.87, 1 Nd 3.69, 4 Ac 3.73-3.83


Below is a relaxed Ag5AuI8 crystal, with properties calculated at the PBE-GGA level.

Properties
E = -126.7 eV for the cell shown

Cell: 12.3509 12.3509 12.3509 Å, 90.00 90.00 90.00°
With the nearest neighbours (Å) after each atom.
Space group F-43m (No. 216)
Inequivalent atoms, fractional coordinates:
Ag  0.0000  0.0000  0.0000 (multiplicity 4)  4 I 2.82
Ag  0.1250  0.1250  0.6250 (multiplicity 16)  6 I 3.01-3.02
Au  0.2500  0.2500  0.2500 (multiplicity 4)  4 I 2.79
I  0.1196  0.1196  0.3804 (multiplicity 16)  1 Au 2.79, 3 Ag 3.02
I  0.1316  0.1316  0.8684 (multiplicity 16)  4 Ag 2.82-3.01


Below is a relaxed AgP2Ir crystal, with properties calculated at the PBE-GGA level.

Properties
energy above the lowest structure with this stoichiometry = 58 meV/atom

Cell: 5.5230 5.5230 10.8288 Å, 90.00 90.00 90.00°
With the nearest neighbours (Å) after each atom.
Space group I-42d (No. 122)
Inequivalent atoms, fractional coordinates:
Ag  0.0000  0.0000  0.0000 (multiplicity 4)  4 P 2.51
P  0.2096  0.2500  0.6250 (multiplicity 8)  2 Ir 2.25, 2 Ag 2.51
Ir  0.0000  0.0000  0.5000 (multiplicity 4)  4 P 2.25


Below is a relaxed Sm2As4PtRh3 crystal, with properties calculated at the PBE-GGA level.

Properties
E = -65.0 eV for the cell shown

Cell: 4.3151 4.3151 9.9734 Å, 90.00 90.00 90.00°
With the nearest neighbours (Å) after each atom.
Space group P-4m2 (No. 115)
Inequivalent atoms, fractional coordinates:
Sm  0.0000  0.5000  0.2478 (multiplicity 2)  8 As 3.25-3.28, 6 Rh 3.31, 2 Pt 3.31
As  0.0000  0.0000  0.0000 (multiplicity 1)  4 Rh 2.47
As  0.0000  0.5000  0.6393 (multiplicity 2)  3 Rh 2.40-2.57, 2 Pt 2.57
As  0.5000  0.5000  0.0000 (multiplicity 1)  4 Rh 2.47
Pt  0.0000  0.0000  0.5000 (multiplicity 1)  4 As 2.57
Rh  0.0000  0.5000  0.8804 (multiplicity 2)  5 As 2.40-2.47
Rh  0.5000  0.5000  0.5000 (multiplicity 1)  4 As 2.57


Below is a relaxed Er4Pb2SeS crystal, with properties calculated at the PBE-GGA level.

Properties
E = -42.1 eV for the cell shown

Cell: 6.7249 3.9029 8.1111 Å, 90.00 106.17 90.00°
With the nearest neighbours (Å) after each atom.
Space group P2/m (No. 10)
Inequivalent atoms, fractional coordinates:
Er  0.2246  0.0000  0.2022 (multiplicity 2)  2 S 2.72, 1 Se 2.79
Er  0.2538  0.5000  0.7916 (multiplicity 2)  1 S 2.72, 2 Se 2.80
Pb  0.0000  0.0000  0.5000 (multiplicity 1)  6 Er 3.17-3.19
Pb  0.5000  0.5000  0.5000 (multiplicity 1)  6 Er 3.24-3.25
Se  0.5000  0.0000  0.0000 (multiplicity 1)  6 Er 2.79-2.80
S  0.0000  0.5000  0.0000 (multiplicity 1)  6 Er 2.72


Below is a relaxed VZnS3 crystal, with properties calculated at the PBE-GGA level.

Properties
energy above the lowest structure with this stoichiometry = 606 meV/atom

Cell: 4.6184 4.6184 4.6184 Å, 90.00 90.00 90.00°
With the nearest neighbours (Å) after each atom.
Space group Pm-3m (No. 221)
Inequivalent atoms, fractional coordinates:
V  0.0000  0.0000  0.0000 (multiplicity 1)  12 S 3.27
Zn  0.5000  0.5000  0.5000 (multiplicity 1)  6 S 2.31
S  0.0000  0.5000  0.5000 (multiplicity 3)  2 Zn 2.31


Below is a relaxed Ac2B3C2 crystal, with properties calculated at the PBE-GGA level.

Properties
E = -48.5 eV for the cell shown

Cell: 4.1035 3.9791 7.2442 Å, 90.00 104.74 90.00°
With the nearest neighbours (Å) after each atom.
Space group P2/m (No. 10)
Inequivalent atoms, fractional coordinates:
Ac  0.0643  0.0000  0.2642 (multiplicity 2)  4 C 2.88-2.90, 6 B 2.95-3.14
B  0.4018  0.5000  0.5857 (multiplicity 2)  1 C 1.48, 1 B 1.64
B  0.5000  0.5000  0.0000 (multiplicity 1)  2 C 1.45
C  0.4602  0.5000  0.7956 (multiplicity 2)  2 B 1.45-1.48


Below is a relaxed CaMg2Sn2 crystal, with properties calculated at the PBE-GGA level.

Properties
E = -29.2 eV for the cell shown

Cell: 8.5610 8.5610 3.4860 Å, 90.00 90.00 90.00°
With the nearest neighbours (Å) after each atom.
Space group P4/mbm (No. 127)
Inequivalent atoms, fractional coordinates:
Ca  0.0000  0.0000  0.0000 (multiplicity 2)  4 Mg 3.40, 2 Ca 3.49, 8 Sn 3.61
Mg  0.1219  0.3781  0.0000 (multiplicity 4)  1 Mg 2.95, 6 Sn 3.02-3.11
Sn  0.1748  0.6748  0.5000 (multiplicity 4)  6 Mg 3.02-3.11


Below is a relaxed KScIr4 crystal, with properties calculated at the PBE-GGA level.

Properties
E = -172.4 eV for the cell shown

Cell: 7.5385 7.5385 7.5385 Å, 90.00 90.00 90.00°
With the nearest neighbours (Å) after each atom.
Space group F-43m (No. 216)
Inequivalent atoms, fractional coordinates:
K  0.0000  0.0000  0.0000 (multiplicity 4)  12 Ir 3.13, 4 Sc 3.26
Sc  0.2500  0.2500  0.7500 (multiplicity 4)  12 Ir 3.12, 4 K 3.26
Ir  0.1247  0.1247  0.3753 (multiplicity 16)  6 Ir 2.66-2.67


Below is a relaxed NdGe2Bi crystal, with properties calculated at the PBE-GGA level.

Properties
energy above the lowest structure with this stoichiometry = 0 meV/atom

Cell: 4.7922 4.7922 4.3149 Å, 90.00 90.00 90.00°
With the nearest neighbours (Å) after each atom.
Space group P4/mmm (No. 123)
Inequivalent atoms, fractional coordinates:
Nd  0.0000  0.0000  0.0000 (multiplicity 1)  8 Ge 3.22, 4 Bi 3.39
Ge  0.0000  0.5000  0.5000 (multiplicity 2)  4 Bi 3.22, 4 Nd 3.22, 4 Ge 3.39
Bi  0.5000  0.5000  0.0000 (multiplicity 1)  8 Ge 3.22, 4 Nd 3.39